Compound: CaNiP2
Source: the Alexandria database
Functional: meta-GGA SCAN
Structure: single point on PBEsol structure

```
data_CaNiP2
_symmetry_space_group_name_H-M 'I 4/m m m'
_symmetry_Int_Tables_number 139
_symmetry_space_group_name_Hall '-I 4 2'
_cell_length_a 4.4396
_cell_length_b 4.4396
_cell_length_c 6.3649
_cell_angle_alpha 90.00
_cell_angle_beta 90.00
_cell_angle_gamma 90.00
loop_
_atom_site_label
_atom_site_fract_x
_atom_site_fract_y
_atom_site_fract_z
Ca1 0.0000 0.0000 0.0000
Ni1 0.0000 0.0000 0.5000
P1 0.0000 0.5000 0.2500
```

Computed properties:
N(E_F) in states/eV/atom: 0.737
Calculated total energy in eV per atom: -11.670
Calculated volume in Å³ per cell: 125